Record 1
Computed, not measured: ZnCu2Te2 after structural relaxation at the PBEsol level of DFT.

It has space group I4/mmm (No. 139), with a = 3.696 Å, b = 3.696 Å, c = 14.670 Å, α = 90.00°, β = 90.00° and γ = 90.00°. Symmetry generates all atoms from Zn at (0.000, 0.000, 0.000), Cu at (0.000, 0.500, 0.250) and Te at (0.000, 0.000, 0.376).

Record 2
Computed, not measured: ZnCuTe after structural relaxation at the PBEsol level of DFT.

It has space group Fmm2 (No. 42), with a = 4.210 Å, b = 4.432 Å, c = 11.958 Å, α = 90.00°, β = 90.00° and γ = 90.00°. Symmetry generates all atoms from Zn at (0.000, 0.000, 0.000), Cu at (0.000, 0.000, 0.391) and Te at (0.000, 0.000, 0.719).

Number 1: formation energy from raw total energies 0.075 eV/atom. Number 2: formation energy from raw total energies 0.292 eV/atom.